DFT (meta-GGA SCAN) results for Mg2ZrHg at its PBEsol-relaxed geometry.

Unit cell a=3.1780 b=3.1780 c=8.3443 alpha=90.00 beta=90.00 gamma=90.00
With the nearest neighbours (Å) after each atom.
Element x y z (fractional)
Mg  0.0000  0.0000  0.9838  4 Hg 2.94, 8 Mg 3.15-3.18
Mg  0.5000  0.5000  0.2488  4 Zr 3.13, 8 Mg 3.15-3.18
Hg  0.5000  0.5000  0.7572  4 Mg 2.94, 4 Zr 3.05, 4 Hg 3.18
Zr  0.0000  0.0000  0.5101  4 Hg 3.05, 4 Mg 3.13, 4 Zr 3.18

Its space-group type is No. 99. Its density of states at the Fermi level is 2.103 states/eV per cell. The total energy comes out at -27.394 eV per atom. The formation energy comes out at -0.19 eV per atom.